No. 1
RbTl2AuCl5 | PBE | optimized geometry

extended XYZ file:
```
18
Lattice="8.428 0.000 0.000 0.000 8.428 0.000 -4.214 -4.214 7.736" Properties=species:S:1:pos:R:3 pbc="T T T"
Cl 1.290 2.924 5.573
Cl 1.290 5.504 2.162
Cl 2.924 -1.290 5.573
Cl 0.000 0.000 0.000
Cl 5.504 7.138 2.162
Cl -2.924 1.290 5.573
Cl 7.138 2.924 2.162
Cl 4.214 4.214 0.000
Cl 2.924 1.290 2.162
Cl -1.290 -2.924 5.573
Tl 2.762 6.976 0.000
Tl 1.452 2.762 0.000
Tl 6.976 5.666 0.000
Tl 5.666 1.452 0.000
Au 4.214 0.000 3.868
Au 0.000 4.214 3.868
Rb 4.214 4.214 3.868
Rb 0.000 0.000 3.868
```

## Properties
The total energy is -2.923 eV per atom.


No. 2
NpTc2P2 | PBE | optimized geometry

extended XYZ file:
```
10
Lattice="-3.133 2.631 0.894 -1.360 -2.656 3.050 5.446 4.567 5.646" Properties=species:S:1:pos:R:3 pbc="T T T"
Tc 2.997 2.562 7.870
Tc 1.603 2.278 3.822
Tc -0.651 2.265 5.769
Tc -2.045 1.981 1.721
P -1.183 -0.182 1.298
P 1.661 1.544 6.182
P -0.708 2.999 3.409
P 2.135 4.725 8.293
Np -0.323 -0.049 3.919
Np 1.276 4.592 5.671
```

## Properties
For the formation enthalpy at 0 K, the calculation gives -0.60 eV per atom. The energy relative to the lowest polymorph listed for this composition is 22.6 meV per atom.


No. 3
MnCoOs2 | PBE | optimized geometry

extended XYZ file:
```
4
Lattice="-0.406 -1.494 2.139 2.341 1.214 -0.144 -3.288 6.832 4.147" Properties=species:S:1:pos:R:3 pbc="T T T"
Mn -1.467 4.918 4.068
Os -3.253 6.759 4.103
Os 0.112 1.638 2.077
Co -1.677 3.484 2.115
```

## Properties
For the formation enthalpy at 0 K, the calculation gives 0.42 eV per atom. The energy relative to the lowest polymorph listed for this composition is 358.1 meV per atom.


No. 4
ZnSiTe2 | PBE | optimized geometry

extended XYZ file:
```
4
Lattice="-6.663 0.265 -2.717 -7.090 -0.352 1.208 -0.080 3.955 0.613" Properties=species:S:1:pos:R:3 pbc="T T T"
Zn -7.499 2.421 -0.435
Si -2.823 0.482 -0.231
Te -10.243 2.412 -0.735
Te -0.183 0.487 0.057
```

## Properties
The energy relative to the lowest polymorph listed for this composition is 40.1 meV per atom.


No. 5
K2RbBaF | PBE | optimized geometry

extended XYZ file:
```
5
Lattice="-3.457 5.649 -4.172 -6.627 -1.084 4.024 1.488 3.397 3.366" Properties=species:S:1:pos:R:3 pbc="T T T"
Rb -4.298 3.981 1.608
K -3.313 -0.542 2.012
K -1.729 2.825 -2.086
F 0.000 0.000 0.000
Ba 0.744 1.698 1.683
```

## Properties
The total energy is -2.399 eV per atom.


No. 6
AcTbGaNi | PBE | optimized geometry

extended XYZ file:
```
4
Lattice="-1.957 -3.782 2.978 -1.378 -4.534 -2.131 2.800 -4.273 0.946" Properties=species:S:1:pos:R:3 pbc="T T T"
Ac -0.401 -9.442 1.345
Tb -0.134 -3.147 0.448
Ni -0.268 -6.295 0.896
Ga 0.000 0.000 0.000
```

## Properties
For the formation enthalpy at 0 K, the calculation gives -0.28 eV per atom.


No. 7
SrBe2I | PBE | optimized geometry

extended XYZ file:
```
8
Lattice="-3.128 7.381 1.172 -7.256 -2.695 -2.392 -5.889 1.575 2.369" Properties=species:S:1:pos:R:3 pbc="T T T"
Be -4.433 4.904 1.063
Be -13.733 5.196 0.633
Be -8.080 3.024 1.395
Be -6.299 -0.602 -0.794
Sr -9.169 0.612 -0.317
Sr -5.192 2.343 -0.610
I -7.104 5.650 1.465
I 0.000 0.000 0.000
```

## Properties
The energy relative to the lowest polymorph listed for this composition is 0.0 meV per atom.


No. 8
Ba2CaGe3Au12 | PBE | optimized geometry

extended XYZ file:
```
18
Lattice="-0.547 5.399 -6.426 -5.695 -2.287 -5.751 -6.976 4.693 0.222" Properties=species:S:1:pos:R:3 pbc="T T T"
Au -5.259 2.798 -8.251
Au -5.944 6.532 -5.055
Au -8.638 7.865 -7.519
Au -2.061 3.701 -4.767
Au -11.157 4.104 -7.188
Au -8.011 4.449 -10.441
Au -7.960 5.007 -3.704
Au -8.699 2.420 -4.694
Au -4.581 -0.060 -4.436
Au -7.274 1.272 -6.900
Au -5.207 3.356 -1.514
Au -4.520 5.384 -7.261
Ba -5.205 3.073 -4.707
Ba -8.014 4.732 -7.248
Ge -2.848 -1.143 -2.875
Ge -0.274 2.699 -3.213
Ge -3.488 2.346 0.111
Ca 0.000 0.000 0.000
```

## Properties
For the formation enthalpy at 0 K, the calculation gives -0.16 eV per atom.


No. 9
Th3ScGe6 | PBE | optimized geometry

extended XYZ file:
```
20
Lattice="7.710 -0.020 -0.963 -1.088 7.633 -0.963 -0.017 -0.020 7.770" Properties=species:S:1:pos:R:3 pbc="T T T"
Th 1.170 5.193 5.448
Th 6.014 1.878 4.281
Th 4.374 6.216 0.498
Th 5.435 2.399 0.396
Th 0.591 5.715 1.563
Th 2.230 1.377 5.346
Ge 2.824 0.108 0.314
Ge 3.587 0.985 2.608
Ge 6.327 4.781 6.165
Ge 0.277 2.812 -0.321
Ge 0.016 0.664 2.765
Ge 2.647 3.689 0.157
Ge 3.017 6.608 3.236
Ge 0.556 3.132 3.243
Ge 6.049 4.460 2.601
Ge 6.589 6.929 3.079
Ge 3.958 3.904 5.687
Ge 3.780 7.485 5.530
Sc 0.000 0.000 0.000
Sc 3.302 3.796 2.922
```

## Properties
For the formation enthalpy at 0 K, the calculation gives -0.63 eV per atom.


No. 10
LaTcSe2 | PBE | optimized geometry

extended XYZ file:
```
4
Lattice="-1.823 -2.563 -1.933 3.169 0.829 -1.704 3.269 -5.055 3.619" Properties=species:S:1:pos:R:3 pbc="T T T"
Se 1.524 -2.357 1.687
Se 0.110 -0.171 0.122
Tc 1.490 -2.131 -0.914
La 3.124 -4.658 0.896
```

## Properties
The energy relative to the lowest polymorph listed for this composition is 487.8 meV per atom.


No. 11
K2MgSnO4 | PBE | optimized geometry

extended XYZ file:
```
8
Lattice="5.881 0.001 -0.004 0.000 5.880 -0.003 -2.938 -2.939 4.094" Properties=species:S:1:pos:R:3 pbc="T T T"
K 0.002 2.942 3.975
K 0.001 0.001 1.931
Sn 2.942 0.002 3.973
O -2.083 -1.447 2.921
O 1.448 3.797 0.937
O 2.086 1.449 2.917
O 4.433 2.085 0.936
Mg 2.942 2.942 1.926
```

## Properties
The total energy is -5.313 eV per atom.


No. 12
LaCeLuZr | PBE | optimized geometry

extended XYZ file:
```
4
Lattice="-1.233 3.032 -4.403 -5.107 -0.025 -2.006 -3.177 4.442 0.530" Properties=species:S:1:pos:R:3 pbc="T T T"
Ce -4.758 3.724 -2.939
La 0.000 0.000 0.000
Zr -2.379 1.862 -1.470
Lu -7.137 5.587 -4.409
```

## Properties
For the formation enthalpy at 0 K, the calculation gives 0.21 eV per atom.


No. 13
La2ZnPt | PBE | optimized geometry

extended XYZ file:
```
4
Lattice="5.011 0.000 0.000 2.506 4.340 0.000 2.506 1.447 4.092" Properties=species:S:1:pos:R:3 pbc="T T T"
La 7.517 4.340 3.069
La 0.000 0.000 0.000
Zn 2.506 1.447 1.023
Pt 5.011 2.893 2.046
```

## Properties
For the formation enthalpy at 0 K, the calculation gives -0.57 eV per atom.


No. 14
NiHgIr2 | PBE | optimized geometry

extended XYZ file:
```
4
Lattice="2.797 0.000 0.000 0.000 2.797 0.000 0.000 0.000 7.781" Properties=species:S:1:pos:R:3 pbc="T T T"
Hg 1.398 1.398 5.724
Ir 1.398 1.398 2.013
Ir 0.000 0.000 0.219
Ni 0.000 0.000 3.717
```

## Properties
For the formation enthalpy at 0 K, the calculation gives 0.22 eV per atom.


No. 15
AlAuCl3 | PBE | optimized geometry

extended XYZ file:
```
5
Lattice="4.760 0.000 0.000 0.000 4.760 0.000 0.000 0.000 4.760" Properties=species:S:1:pos:R:3 pbc="T T T"
Al 0.000 0.000 0.000
Cl 0.000 0.000 2.380
Cl 2.380 0.000 0.000
Cl 0.000 2.380 0.000
Au 2.380 2.380 2.380
```

## Properties
The energy relative to the lowest polymorph listed for this composition is 0.0 meV per atom.


No. 16
NdYTh | PBE | optimized geometry

extended XYZ file:
```
3
Lattice="3.621 0.000 0.000 0.000 3.621 0.000 -1.811 -1.811 7.624" Properties=species:S:1:pos:R:3 pbc="T T T"
Nd 0.000 0.000 4.978
Y 0.000 0.000 0.124
Th 1.811 1.811 2.522
```

## Properties
For the formation enthalpy at 0 K, the calculation gives 0.03 eV per atom. The energy relative to the lowest polymorph listed for this composition is 7.2 meV per atom.


No. 17
SmHo5ErTh2 | PBE | optimized geometry

extended XYZ file:
```
18
Lattice="-3.908 -3.539 -6.917 7.768 -1.961 -3.385 -2.093 -4.121 8.758" Properties=species:S:1:pos:R:3 pbc="T T T"
Ho 1.317 -6.253 0.161
Ho 2.646 -4.326 3.891
Ho 4.648 -4.064 -2.841
Ho 3.318 -5.991 -6.572
Ho -2.881 -5.557 1.297
Ho -1.552 -3.630 5.028
Ho 0.450 -3.367 -1.705
Ho 1.930 -2.750 -5.151
Ho -0.880 -5.294 -5.435
Ho 0.000 0.000 0.000
Th 1.373 -4.331 -8.187
Th 2.487 -1.169 -2.115
Th 5.352 -3.073 -5.611
Th -1.492 -2.427 -4.691
Er -0.081 -3.435 1.803
Er 1.848 -6.185 -3.348
Sm -2.035 -5.205 -1.655
Sm 3.802 -4.416 0.111
```

## Properties
For the formation enthalpy at 0 K, the calculation gives 0.34 eV per atom.


No. 18
AlZn4Cu4 | PBE | optimized geometry

extended XYZ file:
```
9
Lattice="-2.198 -0.559 3.207 -4.481 -3.563 -1.288 1.993 -4.659 2.960" Properties=species:S:1:pos:R:3 pbc="T T T"
Zn -2.439 -7.384 4.258
Zn -2.249 -1.397 0.620
Zn -0.159 -3.450 4.101
Zn -4.529 -5.331 0.777
Cu -2.296 -3.121 2.693
Cu -4.515 -4.489 3.339
Cu -0.172 -4.292 1.540
Cu -2.391 -5.660 2.185
Al 0.000 0.000 0.000
```

## Properties
For the formation enthalpy at 0 K, the calculation gives -0.06 eV per atom.


Number 1: Fermi-level density of states 11.420 states/eV per cell. Number 2: Fermi-level density of states 14.646 states/eV per cell. Number 3: Fermi-level density of states 5.292 states/eV per cell. Number 4: Fermi-level density of states 1.771 states/eV per cell. Number 5: Fermi-level density of states 3.614 states/eV per cell. Number 6: Fermi-level density of states 3.894 states/eV per cell. Number 7: Fermi-level density of states 4.139 states/eV per cell. Number 8: Fermi-level density of states 5.832 states/eV per cell. Number 9: Fermi-level density of states 11.253 states/eV per cell. Number 10: Fermi-level density of states 2.359 states/eV per cell. Number 11: Fermi-level density of states 0.000 states/eV per cell. Number 12: Fermi-level density of states 8.452 states/eV per cell. Number 13: Fermi-level density of states 0.418 states/eV per cell. Number 14: Fermi-level density of states 3.043 states/eV per cell. Number 15: Fermi-level density of states 2.099 states/eV per cell. Number 16: Fermi-level density of states 4.060 states/eV per cell. Number 17: Fermi-level density of states 24.104 states/eV per cell. Number 18: Fermi-level density of states 2.051 states/eV per cell.